# TcAgSe2 | Alexandria | PBE-GGA | optimized geometry
data_TcAgSe2
_cell_length_a 17.063
_cell_length_b 3.599
_cell_length_c 6.693
_cell_angle_alpha 90.00
_cell_angle_beta 113.02
_cell_angle_gamma 90.00
_space_group_name_H-M_alt 'C 1 m 1'
_space_group_IT_number 8
loop_
_space_group_symop_operation_xyz
'x,y,z'
'x,-y,z'
'x+1/2,y+1/2,z'
'x+1/2,-y+1/2,z'
loop_
_atom_site_label
_atom_site_type_symbol
_atom_site_fract_x
_atom_site_fract_y
_atom_site_fract_z
Tc1 Tc 0.000 0.000 0.000
Tc2 Tc 0.104 0.500 0.312
Ag1 Ag 0.019 0.500 0.651
Ag2 Ag 0.266 0.000 0.581
Se1 Se 0.154 0.000 0.140
Se2 Se 0.178 0.500 0.705
Se3 Se 0.393 0.500 0.629
Se4 Se 0.449 0.000 0.165
# Offset from the most stable computed form, meV per atom: 64.6
# Raw formation energy, eV/atom: -0.1229